! PBE Tm5Zn2Pb5, relaxed; values from VASP
&SYSTEM
  ibrav = 0, nat = 12, ntyp = 3
/
ATOMIC_SPECIES
Tm 168.93 Tm.upf
Zn 65.41 Zn.upf
Pb 207.20 Pb.upf
ATOMIC_POSITIONS crystal
Tm 0.000 0.500 0.500
Tm 0.688 0.706 0.918
Tm 0.354 0.963 0.329
Tm 0.646 0.037 0.671
Tm 0.312 0.294 0.082
Zn 0.372 0.484 0.772
Zn 0.628 0.516 0.228
Pb 0.693 0.235 0.380
Pb 0.948 0.300 0.803
Pb 0.052 0.700 0.197
Pb 0.307 0.765 0.620
Pb 0.000 0.000 0.000
CELL_PARAMETERS angstrom
4.457 0.000 1.006
2.374 8.349 -0.142
0.424 -1.158 8.503
! Space-group type: C2/m (12)
! Volume: 25.8 Å³/atom
! Energy relative to the elements: -0.337 eV per atom
! Raw total energy: -47.49 eV per formula unit